Below is a relaxed structure of HoHgS2, with properties calculated at the GGA-PBE level.

Output
The value obtained for the mass density is 7.3 g cm⁻³. The energy above the most stable polymorph in this dataset comes out at 0.16 eV per formula unit. The total magnetic moment is 0.0 μB/f.u. For the volume, the calculation gives 294 Å³ per cell. As for the raw total energy: -4.401 eV per atom. As for the crystal system: trigonal. Its energy relative to the elements, uncorrected is -1117 meV/atom.

a b c (Å): 4.0098 4.0098 21.0909
angles (deg): 90.00 90.00 120.00
Closest atoms and distances in Å follow each position.
Space group R3m (No. 160, hexagonal axes)
Asymmetric unit:
Ho (0.0000, 0.0000, 0.0000) (multiplicity 3)  6 S 2.72-2.76
Hg (0.0000, 0.0000, 0.1662) (multiplicity 3)  6 S 3.08-3.11
S (0.0000, 0.0000, 0.4007) (multiplicity 3)  3 Ho 2.72
S (0.0000, 0.0000, 0.5958) (multiplicity 3)  3 Ho 2.76, 3 Hg 3.08